1.
## K2DyUSe6 (PBE)

Data for a relaxed structure of K2DyUSe6.

Values from the calculation:
The value obtained for the uncorrected formation energy is -1.21 eV per atom. Its density of states at the Fermi level is 0.652 states/eV per atom. The value obtained for the total magnetic moment is 0.0 μB/f.u.

abc: 7.6979 7.7114 10.9199
angles: 90.00 90.03 90.00
Fractional coordinates of all 20 atoms:
K (0.0023, 0.9870, 0.2500)
K (0.5023, 0.5130, 0.7500)
K (0.9977, 0.0130, 0.7500)
K (0.4977, 0.4870, 0.2500)
Dy (0.5000, 0.0000, 0.0000)
Dy (0.0000, 0.5000, 0.5000)
U (0.5000, 0.0000, 0.5000)
U (0.0000, 0.5000, 0.0000)
Se (0.2660, 0.7216, 0.0135)
Se (0.7660, 0.7784, 0.5135)
Se (0.7340, 0.2784, 0.9865)
Se (0.2340, 0.2216, 0.4865)
Se (0.2786, 0.7339, 0.4861)
Se (0.7786, 0.7661, 0.9861)
Se (0.7214, 0.2661, 0.5139)
Se (0.2214, 0.2339, 0.0139)
Se (0.9733, 0.5029, 0.2439)
Se (0.4733, 0.9971, 0.7439)
Se (0.0267, 0.4971, 0.7561)
Se (0.5267, 0.0029, 0.2561)

---

2.
## Ho2TmIr2 (PBE)

Data for a relaxed structure of Ho2TmIr2.

Values from the calculation:
The formation energy from the elements is -805 meV per atom. As for the energy above the lowest structure with this stoichiometry: 0.00 eV per formula unit. Its density of states at the Fermi level is 0.711 states/eV per atom. The value obtained for the total magnetic moment is 0.0 μB/f.u.

abc: 4.7496 4.7676 10.2588
angles: 90.02 90.00 90.00
Fractional coordinates of all 10 atoms:
Ho (0.7500, 0.2499, 0.9990)
Ho (0.2500, 0.7501, 0.6675)
Ho (0.2500, 0.7501, 0.0010)
Ho (0.7500, 0.2499, 0.3325)
Tm (0.7500, 0.2501, 0.6651)
Tm (0.2500, 0.7499, 0.3349)
Ir (0.2500, 0.2500, 0.4959)
Ir (0.7500, 0.7500, 0.1625)
Ir (0.2500, 0.2500, 0.8375)
Ir (0.7500, 0.7500, 0.5041)

---

3.
## TaReRh2 (PBE)

Data for a relaxed structure of TaReRh2.

Values from the calculation:
The formation energy from the elements is -49 meV per atom. As for the energy above the lowest structure with this stoichiometry: 1.28 eV per formula unit. Its density of states at the Fermi level is 1.439 states/eV per atom. The value obtained for the total magnetic moment is 0.0 μB/f.u.

abc: 4.4369 4.4369 4.4369
angles: 60.00 60.00 60.00
Fractional coordinates of all 4 atoms:
Ta (0.2500, 0.2500, 0.2500)
Re (0.5000, 0.5000, 0.5000)
Rh (0.0000, 0.0000, 0.0000)
Rh (0.7500, 0.7500, 0.7500)

---

4.
## MnAl2Pt8 (PBE)

Data for a relaxed structure of MnAl2Pt8.

Values from the calculation:
The formation energy from the elements is -553 meV per atom. Its density of states at the Fermi level is 0.857 states/eV per atom. The value obtained for the total magnetic moment is 4.1 μB/f.u.

abc: 4.0111 6.2995 7.2496
angles: 107.51 106.06 90.00
Each line ends with the local moment (μB).
Fractional coordinates of all 11 atoms:
Mn (0.5000, 0.0000, 0.0000)  3.75
Al (0.2214, 0.6519, 0.4428)  0.00
Al (0.7786, 0.3481, 0.5572)  0.00
Pt (0.6003, 0.4629, 0.2005)  0.02
Pt (0.3217, 0.0683, 0.6434)  0.04
Pt (0.1482, 0.2120, 0.2963)  0.01
Pt (0.0456, 0.7280, 0.0912)  0.05
Pt (0.8518, 0.7880, 0.7037)  0.01
Pt (0.6783, 0.9317, 0.3566)  0.04
Pt (0.3997, 0.5371, 0.7995)  0.02
Pt (0.9544, 0.2720, 0.9088)  0.05

---

5.
## Al2CrAu2 (PBE)

Data for a relaxed structure of Al2CrAu2.

Values from the calculation:
The formation energy from the elements is 77 meV per atom. As for the energy above the lowest structure with this stoichiometry: 0.00 eV per formula unit. Its density of states at the Fermi level is 0.310 states/eV per atom. The value obtained for the total magnetic moment is 0.0 μB/f.u.

abc: 7.2941 7.2941 2.9850
angles: 90.00 90.00 90.00
Fractional coordinates of all 10 atoms:
Cr (0.0000, 0.0000, 0.0000)
Cr (0.5000, 0.5000, 0.0000)
Au (0.1548, 0.6548, 0.5000)
Au (0.6548, 0.8452, 0.5000)
Au (0.8452, 0.3452, 0.5000)
Au (0.3452, 0.1548, 0.5000)
Al (0.3544, 0.8544, 0.0000)
Al (0.8544, 0.6456, 0.0000)
Al (0.6456, 0.1456, 0.0000)
Al (0.1456, 0.3544, 0.0000)

---

6.
## TmU2Se5 (PBE)

Data for a relaxed structure of TmU2Se5.

Values from the calculation:
The value obtained for the uncorrected formation energy is -0.56 eV per atom. Its density of states at the Fermi level is 1.458 states/eV per atom. The value obtained for the total magnetic moment is 5.8 μB/f.u.

abc: 4.8484 6.8757 6.8757
angles: 90.00 90.00 90.00
Each line ends with the local moment (μB).
Fractional coordinates of all 8 atoms:
Tm (0.0000, 0.0000, 0.0000)  0.00
U (0.5000, 0.5000, 0.0000)  2.90
U (0.5000, 0.0000, 0.5000)  2.90
Se (0.0000, 0.7205, 0.7205)  -0.06
Se (0.0000, 0.2795, 0.7205)  -0.06
Se (0.0000, 0.7205, 0.2795)  -0.06
Se (0.5000, 0.0000, 0.0000)  -0.03
Se (0.0000, 0.2795, 0.2795)  -0.06

---

7.
## YSc2NbMo (PBE)

Data for a relaxed structure of YSc2NbMo.

Values from the calculation:
The formation energy from the elements is 657 meV per atom. Its density of states at the Fermi level is 1.119 states/eV per atom. The value obtained for the total magnetic moment is 0.0 μB/f.u.

abc: 5.1731 4.7507 5.1731
angles: 90.00 90.00 90.00
Fractional coordinates of all 5 atoms:
Y (0.5000, 0.5000, 0.5000)
Sc (0.0000, 0.0000, 0.5000)
Sc (0.5000, 0.0000, 0.0000)
Mo (0.0000, 0.5000, 0.0000)
Nb (0.0000, 0.0000, 0.0000)

---

8.
## Ce2BiPb (PBE)

Data for a relaxed structure of Ce2BiPb.

Values from the calculation:
The formation energy from the elements is -292 meV per atom. As for the energy above the lowest structure with this stoichiometry: 0.90 eV per formula unit. Its density of states at the Fermi level is 2.497 states/eV per atom. The value obtained for the total magnetic moment is 2.1 μB/f.u.

abc: 3.5900 3.5900 10.9785
angles: 80.59 80.59 60.00
Each line ends with the local moment (μB).
Fractional coordinates of all 4 atoms:
Pb (0.5000, 0.5000, 0.5000)  -0.01
Bi (0.0000, 0.0000, 0.0000)  0.00
Ce (0.7497, 0.7497, 0.7509)  0.84
Ce (0.2503, 0.2503, 0.2491)  0.84

---

9.
## Mg3Sc2Pb3 (PBE)

Data for a relaxed structure of Mg3Sc2Pb3.

Values from the calculation:
The formation energy from the elements is -216 meV per atom. Its density of states at the Fermi level is 0.493 states/eV per atom. The value obtained for the total magnetic moment is 0.0 μB/f.u.

abc: 4.7339 4.6161 8.8130
angles: 90.00 90.00 90.00
Fractional coordinates of all 8 atoms:
Mg (0.5000, 0.5000, 0.7577)
Mg (0.5000, 0.5000, 0.2423)
Mg (0.5000, 0.0000, 0.0000)
Sc (0.0000, 0.0000, 0.7476)
Sc (0.0000, 0.0000, 0.2524)
Pb (0.5000, 0.0000, 0.5000)
Pb (0.0000, 0.5000, 0.0000)
Pb (0.0000, 0.5000, 0.5000)

---

10.
## RbNaSr2S (PBE)

Data for a relaxed structure of RbNaSr2S.

Values from the calculation:
The value obtained for the uncorrected formation energy is -0.67 eV per atom. Its density of states at the Fermi level is 0.803 states/eV per atom. The value obtained for the total magnetic moment is 0.0 μB/f.u.

abc: 5.8625 5.8625 6.7960
angles: 90.00 90.00 90.00
Fractional coordinates of all 5 atoms:
Sr (0.0000, 0.5000, 0.0000)
Sr (0.5000, 0.0000, 0.0000)
S (0.0000, 0.0000, 0.0000)
Rb (0.0000, 0.0000, 0.5000)
Na (0.5000, 0.5000, 0.5000)

---

11.
## Fe2PbS2 (PBE)

Data for a relaxed structure of Fe2PbS2.

Values from the calculation:
As for the energy above the lowest structure with this stoichiometry: 2.11 eV per formula unit. The value obtained for the uncorrected formation energy is 0.16 eV per atom. Its density of states at the Fermi level is 0.789 states/eV per atom. The value obtained for the total magnetic moment is 0.0 μB/f.u.

abc: 4.1255 4.1255 5.5364
angles: 68.13 68.13 90.00
Fractional coordinates of all 5 atoms:
Pb (0.0000, 0.0000, 0.0000)
S (0.7500, 0.2500, 0.5000)
S (0.2500, 0.7500, 0.5000)
Fe (0.3507, 0.3507, 0.2985)
Fe (0.6493, 0.6493, 0.7015)

---

12.
## LaDyNi (PBE)

Data for a relaxed structure of LaDyNi.

Values from the calculation:
The formation energy from the elements is -146 meV per atom. As for the energy above the lowest structure with this stoichiometry: 0.39 eV per formula unit. Its density of states at the Fermi level is 1.141 states/eV per atom. The value obtained for the total magnetic moment is 0.0 μB/f.u.

abc: 3.9449 3.9449 6.3985
angles: 90.00 90.00 120.00
Fractional coordinates of all 3 atoms:
Ni (0.6667, 0.3333, 0.3402)
La (0.0000, 0.0000, 0.0839)
Dy (0.3333, 0.6667, 0.5758)

---

13.
## Sr4YPa3P8 (PBE)

Data for a relaxed structure of Sr4YPa3P8.

Values from the calculation:
The formation energy from the elements is -1274 meV per atom. Its density of states at the Fermi level is 0.721 states/eV per atom. The value obtained for the total magnetic moment is 0.0 μB/f.u.

abc: 8.2666 8.4068 8.2666
angles: 119.45 120.00 90.00
Fractional coordinates of all 16 atoms:
Sr (0.5000, 0.0000, 0.0000)
Sr (0.5000, 0.0000, 0.5000)
Sr (0.0000, 0.0000, 0.0000)
Sr (0.0000, 0.0000, 0.5000)
Y (0.0000, 0.5000, 0.0000)
Pa (0.5000, 0.5000, 0.0000)
Pa (0.5000, 0.5000, 0.5000)
Pa (0.0000, 0.5000, 0.5000)
P (0.2425, 0.7154, 0.9729)
P (0.2425, 0.7154, 0.4850)
P (0.2618, 0.2855, 0.5237)
P (0.7304, 0.7154, 0.9729)
P (0.2696, 0.2846, 0.0271)
P (0.7382, 0.7145, 0.4763)
P (0.7575, 0.2846, 0.5150)
P (0.7575, 0.2846, 0.0271)

---

14.
## TbLuMgIr (PBE)

Data for a relaxed structure of TbLuMgIr.

Values from the calculation:
The formation energy from the elements is -479 meV per atom. Its density of states at the Fermi level is 0.530 states/eV per atom. The value obtained for the total magnetic moment is 0.0 μB/f.u.

abc: 4.9844 4.9844 4.9844
angles: 60.00 60.00 60.00
Fractional coordinates of all 4 atoms:
Tb (0.5000, 0.5000, 0.5000)
Mg (0.7500, 0.7500, 0.7500)
Ir (0.2500, 0.2500, 0.2500)
Lu (0.0000, 0.0000, 0.0000)

---

15.
## FeCo6Ir2 (PBE)

Data for a relaxed structure of FeCo6Ir2.

Values from the calculation:
The formation energy from the elements is 129 meV per atom. Its density of states at the Fermi level is 1.095 states/eV per atom. The value obtained for the total magnetic moment is 13.3 μB/f.u.

abc: 2.5669 6.8516 7.2813
angles: 118.07 100.15 90.00
Each line ends with the local moment (μB).
Fractional coordinates of all 9 atoms:
Fe (0.0000, 0.5000, 0.0000)  2.91
Co (0.3271, 0.4995, 0.6541)  1.70
Co (0.6729, 0.5005, 0.3459)  1.70
Co (0.6729, 0.8453, 0.3459)  1.70
Co (0.5000, 0.1839, 0.0000)  1.50
Co (0.5000, 0.8161, 0.0000)  1.50
Co (0.3271, 0.1547, 0.6541)  1.70
Ir (0.1458, 0.1458, 0.2915)  0.33
Ir (0.8542, 0.8542, 0.7085)  0.33

---

16.
## CaNd2Gd (PBE)

Data for a relaxed structure of CaNd2Gd.

Values from the calculation:
The formation energy from the elements is 43 meV per atom. As for the energy above the lowest structure with this stoichiometry: 0.00 eV per formula unit. Its density of states at the Fermi level is 1.544 states/eV per atom. The value obtained for the total magnetic moment is 7.2 μB/f.u.

abc: 3.6888 3.6888 10.4986
angles: 90.00 90.00 90.00
Each line ends with the local moment (μB).
Fractional coordinates of all 4 atoms:
Ca (0.5000, 0.5000, 0.5000)  0.03
Gd (0.5000, 0.5000, 0.0000)  -7.16
Nd (0.0000, 0.0000, 0.7652)  0.04
Nd (0.0000, 0.0000, 0.2348)  0.04

---

17.
## Tl2AgHg (PBE)

Data for a relaxed structure of Tl2AgHg.

Values from the calculation:
The formation energy from the elements is 86 meV per atom. As for the energy above the lowest structure with this stoichiometry: 0.07 eV per formula unit. Its density of states at the Fermi level is 0.314 states/eV per atom. The value obtained for the total magnetic moment is 0.0 μB/f.u.

abc: 9.9455 9.9455 9.9455
angles: 20.47 20.47 20.47
Fractional coordinates of all 4 atoms:
Tl (0.9941, 0.9941, 0.9941)
Tl (0.5059, 0.5059, 0.5059)
Hg (0.7500, 0.7500, 0.7500)
Ag (0.2500, 0.2500, 0.2500)

---

18.
## CaGdRuAu (PBE)

Data for a relaxed structure of CaGdRuAu.

Values from the calculation:
The formation energy from the elements is -349 meV per atom. Its density of states at the Fermi level is 0.501 states/eV per atom. The value obtained for the total magnetic moment is 7.0 μB/f.u.

abc: 4.9776 4.9776 4.9776
angles: 60.00 60.00 60.00
Each line ends with the local moment (μB).
Fractional coordinates of all 4 atoms:
Ru (0.7500, 0.7500, 0.7500)  -0.18
Ca (0.0000, 0.0000, 0.0000)  0.01
Gd (0.5000, 0.5000, 0.5000)  7.03
Au (0.2500, 0.2500, 0.2500)  0.00

---

19.
## LiPa2Rh6 (PBE)

Data for a relaxed structure of LiPa2Rh6.

Values from the calculation:
The formation energy from the elements is -46 meV per atom. Its density of states at the Fermi level is 0.688 states/eV per atom. The value obtained for the total magnetic moment is 0.0 μB/f.u.

abc: 5.2375 5.2375 12.3584
angles: 90.00 90.00 90.00
Fractional coordinates of all 18 atoms:
Li (0.0000, 0.0000, 0.0000)
Li (0.5000, 0.5000, 0.5000)
Pa (0.0000, 0.0000, 0.2382)
Pa (0.5000, 0.5000, 0.7382)
Pa (0.5000, 0.5000, 0.2618)
Pa (0.0000, 0.0000, 0.7618)
Rh (0.2385, 0.2385, 0.3878)
Rh (0.7615, 0.7615, 0.3878)
Rh (0.2615, 0.7385, 0.8878)
Rh (0.7385, 0.2615, 0.8878)
Rh (0.2615, 0.7385, 0.1122)
Rh (0.7385, 0.2615, 0.1122)
Rh (0.2385, 0.2385, 0.6122)
Rh (0.7615, 0.7615, 0.6122)
Rh (0.2942, 0.2942, 0.0000)
Rh (0.7058, 0.7058, 0.0000)
Rh (0.2058, 0.7942, 0.5000)
Rh (0.7942, 0.2058, 0.5000)

---

20.
## Be2Cd2CuAu5 (PBE)

Data for a relaxed structure of Be2Cd2CuAu5.

Values from the calculation:
The formation energy from the elements is -114 meV per atom. Its density of states at the Fermi level is 0.212 states/eV per atom. The value obtained for the total magnetic moment is 0.0 μB/f.u.

abc: 3.3640 9.8198 9.8198
angles: 90.00 90.00 90.00
Fractional coordinates of all 20 atoms:
Be (0.0000, 0.1275, 0.6275)
Be (0.0000, 0.8725, 0.3725)
Be (0.0000, 0.6275, 0.8725)
Be (0.0000, 0.3725, 0.1275)
Cd (0.0000, 0.6758, 0.1758)
Cd (0.0000, 0.3242, 0.8242)
Cd (0.0000, 0.1758, 0.3242)
Cd (0.0000, 0.8242, 0.6758)
Cu (0.0000, 0.0000, 0.0000)
Cu (0.0000, 0.5000, 0.5000)
Au (0.5000, 0.2032, 0.0686)
Au (0.5000, 0.7968, 0.9314)
Au (0.5000, 0.0686, 0.7968)
Au (0.5000, 0.7032, 0.4314)
Au (0.5000, 0.9314, 0.2032)
Au (0.5000, 0.2968, 0.5686)
Au (0.5000, 0.5686, 0.7032)
Au (0.5000, 0.4314, 0.2968)
Au (0.5000, 0.5000, 0.0000)
Au (0.5000, 0.0000, 0.5000)

---

The following VASP energy values (in eV per atom) correspond, in order, to the records above: -5.105, -7.075, -9.800, -6.460, -4.655, -6.114, -7.349, -5.157, -3.787, -2.624, -5.619, -5.250, -6.584, -5.381, -7.518, -6.362, -1.886, -7.508, -7.270, -3.091.